Rb2V2O5 (PBE+U, relaxed); volume = 16.51 Å³/atom; VASP energy = -115.7 eV/cell; space group = Ima2, No. 46
1.0
8.549 0.006 -0.005
3.745 7.685 0.005
-6.033 -4.027 4.524
O Rb V
10 4 4
Direct
0.290 0.291 0.564
0.710 0.274 0.001
0.227 0.791 0.001
0.773 0.774 0.564
0.894 0.852 0.029
0.106 0.135 0.958
0.323 0.352 0.958
0.677 0.635 0.029
0.512 0.478 0.491
0.488 0.978 0.966
0.905 0.357 0.505
0.095 0.600 0.452
0.352 0.857 0.452
0.648 0.100 0.505
0.000 0.941 0.941
0.500 0.441 0.941
0.658 0.736 0.894
0.342 0.236 0.078